1.
The following is a DFT calculation (GGA-PBE) of a geometry-optimized BeCo2Ir structure.

Spin magnetization: 0.000 μB per atom
Energy of formation: -0.3 eV/f.u.
Uncorrected energy: -6.7862 eV/atom

Unit cell a=3.573 b=3.573 c=6.870 alpha=90.00 beta=90.00 gamma=90.00
Atoms (fractional coordinates):
Be 0.000 0.000 0.000
Be 0.500 0.500 0.500
Co 0.000 0.000 0.500
Co 0.000 0.500 0.750
Co 0.500 0.000 0.250
Co 0.500 0.500 0.000
Ir 0.000 0.500 0.250
Ir 0.500 0.000 0.750



2.
The following is a DFT calculation (GGA-PBE) of a geometry-optimized BeCo2Ir structure.

Spin magnetization: 0.764 μB per atom
Energy of formation: 0.2 eV/f.u.
Uncorrected energy: -6.6566 eV/atom

Unit cell a=4.078 b=4.078 c=2.781 alpha=90.00 beta=90.00 gamma=90.00
Atoms (fractional coordinates):
Be 0.000 0.000 0.000
Co 0.000 0.500 0.500
Co 0.500 0.000 0.500
Ir 0.500 0.500 0.000



3.
The following is a DFT calculation (GGA-PBE) of a geometry-optimized BeCoIr2 structure.

Spin magnetization: 0.187 μB per atom
Energy of formation: -0.7 eV/f.u.
Uncorrected energy: -7.3021 eV/atom

Unit cell a=2.776 b=4.098 c=8.320 alpha=90.00 beta=90.00 gamma=90.00
Atoms (fractional coordinates):
Be 0.000 0.000 0.000
Be 0.500 0.500 0.500
Co 0.000 0.500 0.713
Co 0.500 0.000 0.213
Ir 0.000 0.000 0.490
Ir 0.000 0.500 0.268
Ir 0.500 0.000 0.768
Ir 0.500 0.500 0.990



4.
The following is a DFT calculation (GGA-PBE) of a geometry-optimized Be4Co3Ir structure.

Spin magnetization: 0.181 μB per atom
Energy of formation: -2.9 eV/f.u.
Uncorrected energy: -5.9943 eV/atom

Unit cell a=2.718 b=3.728 c=7.441 alpha=90.00 beta=90.00 gamma=90.00
Atoms (fractional coordinates):
Be 0.000 0.000 0.000
Be 0.000 0.000 0.500
Be 0.000 0.500 0.241
Be 0.000 0.500 0.759
Co 0.500 0.000 0.239
Co 0.500 0.000 0.761
Co 0.500 0.500 0.000
Ir 0.500 0.500 0.500



5.
The following is a DFT calculation (GGA-PBE) of a geometry-optimized Be2CoIr structure.

E above lowest polymorph: 0.362 eV per atom
Spin magnetization: 0.212 μB per atom
Energy of formation: -0.4 eV/f.u.
Uncorrected energy: -5.9566 eV/atom

Unit cell a=2.841 b=4.340 c=7.016 alpha=90.00 beta=90.00 gamma=90.00
Atoms (fractional coordinates):
Be 0.000 0.000 0.237
Be 0.000 0.000 0.763
Be 0.500 0.500 0.237
Be 0.500 0.500 0.763
Co 0.000 0.500 0.000
Co 0.500 0.000 0.000
Ir 0.000 0.500 0.500
Ir 0.500 0.000 0.500



6.
The following is a DFT calculation (GGA-PBE) of a geometry-optimized Be2CoIr structure.

E above lowest polymorph: 0.213 eV per atom
Spin magnetization: 0.203 μB per atom
Energy of formation: -1.0 eV/f.u.
Uncorrected energy: -6.1056 eV/atom

Unit cell a=8.153 b=2.862 c=4.157 alpha=90.00 beta=120.26 gamma=90.00
Atoms (fractional coordinates):
Be 0.240 0.000 0.239
Be 0.260 0.500 0.761
Be 0.740 0.500 0.239
Be 0.760 0.000 0.761
Co 0.000 0.500 0.000
Co 0.500 0.000 0.000
Ir 0.000 0.000 0.500
Ir 0.500 0.500 0.500



7.
The following is a DFT calculation (GGA-PBE) of a geometry-optimized BeCo2Ir structure.

Spin magnetization: 0.885 μB per atom
Energy of formation: 1.0 eV/f.u.
Uncorrected energy: -6.4513 eV/atom

Unit cell a=3.315 b=3.315 c=17.494 alpha=90.00 beta=90.00 gamma=90.00
Atoms (fractional coordinates):
Be 0.000 0.000 0.000
Be 0.000 0.500 0.250
Be 0.500 0.000 0.750
Be 0.500 0.500 0.500
Co 0.226 0.250 0.125
Co 0.250 0.726 0.375
Co 0.250 0.774 0.875
Co 0.274 0.250 0.625
Co 0.726 0.750 0.625
Co 0.750 0.226 0.875
Co 0.750 0.274 0.375
Co 0.774 0.750 0.125
Ir 0.000 0.000 0.500
Ir 0.000 0.500 0.750
Ir 0.500 0.000 0.250
Ir 0.500 0.500 0.000



8.
The following is a DFT calculation (GGA-PBE) of a geometry-optimized BeCo2Ir structure.

Spin magnetization: 0.705 μB per atom
Energy of formation: -0.4 eV/f.u.
Uncorrected energy: -6.8029 eV/atom

Unit cell a=8.446 b=2.657 c=4.270 alpha=90.00 beta=110.77 gamma=90.00
Atoms (fractional coordinates):
Be 0.000 0.000 0.000
Be 0.500 0.500 0.000
Co 0.018 0.500 0.509
Co 0.275 0.000 0.676
Co 0.518 0.000 0.509
Co 0.775 0.500 0.676
Ir 0.244 0.500 0.153
Ir 0.744 0.000 0.153



9.
The following is a DFT calculation (GGA-PBE) of a geometry-optimized BeCo2Ir structure.

Spin magnetization: 0.937 μB per atom
Energy of formation: -0.7 eV/f.u.
Uncorrected energy: -6.8658 eV/atom

Unit cell a=2.777 b=2.777 c=5.753 alpha=90.00 beta=90.00 gamma=90.00
Atoms (fractional coordinates):
Be 0.000 0.000 0.000
Co 0.000 0.000 0.468
Co 0.500 0.500 0.222
Ir 0.500 0.500 0.764



10.
The following is a DFT calculation (GGA-PBE) of a geometry-optimized Be2CoIr2 structure.

E above lowest polymorph: 0.000 eV per atom
Spin magnetization: 0.433 μB per atom
Energy of formation: -1.5 eV/f.u.
Uncorrected energy: -6.7585 eV/atom

Unit cell a=6.247 b=6.247 c=2.854 alpha=90.00 beta=90.00 gamma=90.00
Atoms (fractional coordinates):
Be 0.128 0.372 0.000
Be 0.372 0.872 0.000
Be 0.628 0.128 0.000
Be 0.872 0.628 0.000
Co 0.000 0.000 0.000
Co 0.500 0.500 0.000
Ir 0.168 0.668 0.500
Ir 0.332 0.168 0.500
Ir 0.668 0.832 0.500
Ir 0.832 0.332 0.500



11.
The following is a DFT calculation (GGA-PBE) of a geometry-optimized Be3CoIr2 structure.

Spin magnetization: 0.090 μB per atom
Energy of formation: -2.7 eV/f.u.
Uncorrected energy: -6.4531 eV/atom

Unit cell a=2.766 b=2.766 c=8.133 alpha=90.00 beta=90.00 gamma=90.00
Atoms (fractional coordinates):
Be 0.000 0.000 0.000
Be 0.000 0.000 0.348
Be 0.000 0.000 0.652
Co 0.500 0.500 0.500
Ir 0.500 0.500 0.177
Ir 0.500 0.500 0.823



12.
The following is a DFT calculation (GGA-PBE) of a geometry-optimized Be2CoIr structure.

E above lowest polymorph: 0.293 eV per atom
Spin magnetization: 0.003 μB per atom
Energy of formation: -0.7 eV/f.u.
Uncorrected energy: -6.0252 eV/atom

Unit cell a=5.032 b=7.246 c=2.585 alpha=90.00 beta=115.20 gamma=90.00
Atoms (fractional coordinates):
Be 0.250 0.250 0.000
Be 0.250 0.750 0.000
Be 0.750 0.250 0.000
Be 0.750 0.750 0.000
Co 0.000 0.000 0.500
Co 0.500 0.500 0.500
Ir 0.000 0.500 0.500
Ir 0.500 0.000 0.500



- Which value of uncorrected energy does entry 11 give?
  -6.4531 eV/atom



- Among the records above, which one has the highest spin magnetization?
  number 9



- Among the records above, which one has the highest uncorrected energy?
  number 5



- Which value of uncorrected energy does entry 10 give?
  -6.7585 eV/atom